Sc2InB | SCAN | single point on PBEsol structure

Cell lengths 3.2463, 3.2463, 9.6731 Å; angles 80.34, 80.34, 60.00 degrees
Closest atoms and distances in Å follow each position.
Atoms (fractional coordinates):
Sc1 0.0823 0.0823 0.7530  1 B 2.34
Sc2 0.9177 0.9177 0.2470  1 B 2.34
In1 0.5000 0.5000 0.5000  6 Sc 3.05, 6 In 3.25
B1 0.0000 0.0000 0.0000  2 Sc 2.34

Values from the calculation:
- space group = R-3m
- N(E_F) (states/eV per cell) = 2.56
- DFT total energy (eV per atom) = -16.621
- crystal system = trigonal
- E_form (meV/atom) = 702

***

ScIn3B | SCAN | single point on PBEsol structure

Cell lengths 4.7484, 4.7484, 4.7484 Å; angles 90.00, 90.00, 90.00 degrees
Closest atoms and distances in Å follow each position.
Atoms (fractional coordinates):
In1 0.5000 0.0000 0.0000  2 B 2.37
In2 0.0000 0.0000 0.5000  2 B 2.37
In3 0.0000 0.5000 0.0000  2 B 2.37
B1 0.0000 0.0000 0.0000  6 In 2.37
Sc1 0.5000 0.5000 0.5000  12 In 3.36

Values from the calculation:
- space group = Pm-3m
- N(E_F) (states/eV per cell) = 3.04
- DFT total energy (eV per atom) = -23.878
- crystal system = cubic
- E_form (meV/atom) = 487

***

ScIn2B2 | SCAN | single point on PBEsol structure

Cell lengths 4.2999, 4.2999, 5.4251 Å; angles 113.35, 113.35, 90.00 degrees
Closest atoms and distances in Å follow each position.
Atoms (fractional coordinates):
Sc1 0.0000 0.0000 0.0000  8 B 3.11, 10 In 3.15-3.32
In1 0.3508 0.3508 0.7016  4 B 2.33
In2 0.6492 0.6492 0.2984  4 B 2.33
B1 0.7500 0.2500 0.5000  4 In 2.33
B2 0.2500 0.7500 0.5000  4 In 2.33

Values from the calculation:
- space group = I4/mmm
- N(E_F) (states/eV per cell) = 1.69
- DFT total energy (eV per atom) = -18.498
- crystal system = tetragonal
- E_form (meV/atom) = 676

***

ScTaInB2 | SCAN | single point on PBEsol structure

Cell lengths 4.3643, 4.3643, 4.8472 Å; angles 90.00, 90.00, 90.00 degrees
Closest atoms and distances in Å follow each position.
Atoms (fractional coordinates):
Ta1 0.0000 0.0000 0.5000  2 Sc 2.42
B1 0.0000 0.5000 0.0000  2 Sc 2.18
B2 0.5000 0.0000 0.0000  2 Sc 2.18
In1 0.5000 0.5000 0.5000  4 Ta 3.09, 8 B 3.26
Sc1 0.0000 0.0000 0.0000  4 B 2.18, 2 Ta 2.42

Values from the calculation:
- space group = P4/mmm
- N(E_F) (states/eV per cell) = 2.36
- DFT total energy (eV per atom) = -23.872
- crystal system = tetragonal
- E_form (meV/atom) = 1941